# 1
A relaxed structure of LiY2Mo. Source: the Alexandria database, functional PBE.

Size of the total moment   0.00 Bohr magnetons per cell
Raw total energy   -5.8983 eV/atom
Energy above the most stable polymorph in this dataset   1.16 eV/f.u.
Crystal system   orthorhombic
Calculated volume   94 Å³/f.u.
Calculated formation energy   0.520 eV/atom
Space group   No. 35

```
data_LiY2Mo
_chemical_formula_sum 'Li1 Y2 Mo1'
_space_group_name_H-M_alt 'P 1'
_space_group_IT_number 1
_cell_length_a 3.1132
_cell_length_b 3.1132
_cell_length_c 10.0301
_cell_angle_alpha 90.00
_cell_angle_beta 90.00
_cell_angle_gamma 105.00
loop_
_space_group_symop_operation_xyz
'x,y,z'
loop_
_atom_site_label
_atom_site_type_symbol
_atom_site_fract_x
_atom_site_fract_y
_atom_site_fract_z
Li1 Li 0.0000 0.0000 0.5356
Mo1 Mo 0.5000 0.5000 0.7380
Y1 Y 0.0000 0.0000 0.9546
Y2 Y 0.5000 0.5000 0.2719
```



# 2
A relaxed structure of Ca2Y2Tl. Source: the Alexandria database, functional PBE.

Size of the total moment   2.08 Bohr magnetons per cell
Raw total energy   -3.7051 eV/atom
Energy above the most stable polymorph in this dataset   0.34 eV/f.u.
Crystal system   tetragonal
Calculated volume   172 Å³/f.u.
Calculated formation energy   0.154 eV/atom
Space group   No. 127

```
data_Ca2Y2Tl
_chemical_formula_sum 'Ca4 Y4 Tl2'
_space_group_name_H-M_alt 'P 1'
_space_group_IT_number 1
_cell_length_a 7.9817
_cell_length_b 7.9817
_cell_length_c 5.4074
_cell_angle_alpha 90.00
_cell_angle_beta 90.00
_cell_angle_gamma 90.00
loop_
_space_group_symop_operation_xyz
'x,y,z'
loop_
_atom_site_label
_atom_site_type_symbol
_atom_site_fract_x
_atom_site_fract_y
_atom_site_fract_z
Y1 Y 0.1613 0.6613 0.5000
Y2 Y 0.6613 0.8387 0.5000
Y3 Y 0.8387 0.3387 0.5000
Y4 Y 0.3387 0.1613 0.5000
Tl1 Tl 0.0000 0.0000 0.0000
Tl2 Tl 0.5000 0.5000 0.0000
Ca1 Ca 0.3537 0.8537 0.0000
Ca2 Ca 0.8537 0.6463 0.0000
Ca3 Ca 0.6463 0.1463 0.0000
Ca4 Ca 0.1463 0.3537 0.0000
```



# 3
A relaxed structure of TlSb2Rh. Source: the Alexandria database, functional PBE.

Size of the total moment   0.00 Bohr magnetons per cell
ΔE_f (raw)   -0.192 eV per atom
Raw total energy   -4.6829 eV/atom
Energy above the most stable polymorph in this dataset   0.00 eV/f.u.
Crystal system   monoclinic
Calculated volume   101 Å³/f.u.
Space group   No. 8

```
data_TlSb2Rh
_chemical_formula_sum 'Tl1 Sb2 Rh1'
_space_group_name_H-M_alt 'P 1'
_space_group_IT_number 1
_cell_length_a 9.8905
_cell_length_b 9.8905
_cell_length_c 3.2244
_cell_angle_alpha 85.99
_cell_angle_beta 85.99
_cell_angle_gamma 18.74
loop_
_space_group_symop_operation_xyz
'x,y,z'
loop_
_atom_site_label
_atom_site_type_symbol
_atom_site_fract_x
_atom_site_fract_y
_atom_site_fract_z
Tl1 Tl 0.5579 0.5579 0.3036
Sb1 Sb 0.9005 0.9005 0.8634
Sb2 Sb 0.7284 0.7284 0.9350
Rh1 Rh 0.3131 0.3131 0.3981
```



# 4
A relaxed structure of Cs2BiI6Cl. Source: the Alexandria database, functional PBE.

Size of the total moment   0.00 Bohr magnetons per cell
ΔE_f (raw)   -0.753 eV per atom
Raw total energy   -2.4268 eV/atom
Crystal system   tetragonal
Calculated volume   505 Å³/f.u.
Space group   No. 139

```
data_Cs2BiI6Cl
_chemical_formula_sum 'Cs2 Bi1 I6 Cl1'
_space_group_name_H-M_alt 'P 1'
_space_group_IT_number 1
_cell_length_a 9.3791
_cell_length_b 9.3791
_cell_length_c 8.7683
_cell_angle_alpha 57.67
_cell_angle_beta 57.67
_cell_angle_gamma 90.00
loop_
_space_group_symop_operation_xyz
'x,y,z'
loop_
_atom_site_label
_atom_site_type_symbol
_atom_site_fract_x
_atom_site_fract_y
_atom_site_fract_z
Cs1 Cs 0.7500 0.2500 0.5000
Cs2 Cs 0.2500 0.7500 0.5000
I1 I 0.2670 0.2670 0.4660
I2 I 0.7330 0.7330 0.5340
I3 I 0.2299 0.2299 0.0000
I4 I 0.7701 0.7701 0.0000
I5 I 0.7701 0.2299 0.0000
I6 I 0.2299 0.7701 0.0000
Bi1 Bi 0.0000 0.0000 0.0000
Cl1 Cl 0.5000 0.5000 0.0000
```